Arrangement a

DFT (PBE-GGA) results for an optimized crystal structure of CoTc2Ir.

Lattice parameters (Å, degrees): 5.924 4.676 2.667 90.05 63.15 120.31
Element x y z (fractional)
Co1 0.000 0.500 0.500
Tc1 0.500 0.000 0.500
Ir1 0.500 0.500 0.000
Tc2 0.000 0.000 0.000

## Properties
Fermi-level density of states: 1.241 states/eV/atom
Total magnetization: 0.00 μB/f.u.

=====

Arrangement b

DFT (PBE-GGA) results for an optimized crystal structure of CoTc2Ir.

Lattice parameters (Å, degrees): 4.285 4.285 4.285 60.00 60.00 60.00
Each line ends with the local moment (μB).
Element x y z (fractional)
Tc1 0.750 0.750 0.750  0.23
Co1 0.500 0.500 0.500  1.25
Tc2 0.000 0.000 0.000  -0.36
Ir1 0.250 0.250 0.250  -0.10

## Properties
Fermi-level density of states: 1.717 states/eV/atom
Total magnetization: 0.98 μB/f.u.

=====

Energy ordering: arrangement a at the bottom, the next structure 282 meV/atom above.

=====

Arrangement a

DFT (PBE-GGA) results for an optimized crystal structure of CoTc2Ir.

Lattice parameters (Å, degrees): 3.119 3.119 5.652 90.00 90.00 90.00
Each line ends with the local moment (μB).
Element x y z (fractional)
Co1 0.000 0.000 0.482  0.37
Tc1 0.000 0.000 0.011  -0.03
Ir1 0.500 0.500 0.729  0.16
Tc2 0.500 0.500 0.278  0.10

## Properties
Fermi-level density of states: 1.440 states/eV/atom
Total magnetization: 0.60 μB/f.u.

=====

Arrangement b

DFT (PBE-GGA) results for an optimized crystal structure of CoTc2Ir.

Lattice parameters (Å, degrees): 2.672 2.672 7.563 90.00 90.00 90.00
Element x y z (fractional)
Tc1 0.000 0.000 0.013
Tc2 0.000 0.000 0.487
Ir1 0.500 0.500 0.750
Co1 0.500 0.500 0.250

## Properties
Fermi-level density of states: 1.150 states/eV/atom
Total magnetization: 0.00 μB/f.u.

=====

Energy ordering: arrangement b at the bottom, the next structure 212 meV/atom above.

=====

Arrangement a

DFT (PBE-GGA) results for an optimized crystal structure of CoTcIr.

Lattice parameters (Å, degrees): 3.797 3.797 5.860 80.47 80.47 89.51
Each line ends with the local moment (μB).
Element x y z (fractional)
Ir1 0.329 0.329 0.696  0.04
Tc1 0.825 0.825 0.690  -0.08
Co1 0.242 0.758 0.000  0.72
Tc2 0.175 0.175 0.310  -0.08
Co2 0.758 0.242 0.000  0.72
Ir2 0.671 0.671 0.304  0.04

## Properties
Fermi-level density of states: 1.281 states/eV/atom
Total magnetization: 0.66 μB/f.u.

=====

Arrangement b

DFT (PBE-GGA) results for an optimized crystal structure of CoTcIr.

Lattice parameters (Å, degrees): 2.691 2.691 6.448 90.00 90.00 120.00
Each line ends with the local moment (μB).
Element x y z (fractional)
Tc1 0.333 0.667 0.675  -0.03
Co1 0.000 0.000 0.996  1.32
Ir1 0.667 0.333 0.329  0.05

## Properties
Fermi-level density of states: 1.145 states/eV/atom
Total magnetization: 1.32 μB/f.u.

=====

Energy ordering: arrangement b at the bottom, the next structure 142 meV/atom above.

=====

Arrangement a

DFT (PBE-GGA) results for an optimized crystal structure of CoTcIr3.

Lattice parameters (Å, degrees): 2.686 6.908 8.636 90.00 90.00 101.22
Each line ends with the local moment (μB).
Element x y z (fractional)
Ir1 0.165 0.830 0.499  0.00
Tc1 0.281 0.062 0.250  -0.09
Ir2 0.165 0.830 0.001  0.00
Ir3 0.835 0.170 0.501  0.00
Co1 0.054 0.609 0.750  1.37
Ir4 0.835 0.170 0.999  0.00
Co2 0.946 0.391 0.250  1.37
Ir5 0.596 0.692 0.250  0.14
Ir6 0.404 0.308 0.750  0.14
Tc2 0.719 0.938 0.750  -0.09

## Properties
Fermi-level density of states: 1.303 states/eV/atom
Total magnetization: 1.41 μB/f.u.

=====

Arrangement b

DFT (PBE-GGA) results for an optimized crystal structure of CoTcIr3.

Lattice parameters (Å, degrees): 4.384 4.384 4.384 90.00 90.00 90.00
Each line ends with the local moment (μB).
Element x y z (fractional)
Ir1 0.000 0.500 0.000  0.33
Tc1 0.500 0.500 0.500  0.37
Ir2 0.500 0.000 0.000  0.19
Co1 0.000 0.000 0.000  1.22
Ir3 0.000 0.000 0.500  0.48

## Properties
Fermi-level density of states: 2.482 states/eV/atom
Total magnetization: 2.71 μB/f.u.

=====

Energy ordering: arrangement a at the bottom, the next structure 1299 meV/atom above.

=====

Arrangement a

DFT (PBE-GGA) results for an optimized crystal structure of CoTeIr2.

Lattice parameters (Å, degrees): 3.003 3.650 5.755 90.00 90.00 90.00
Each line ends with the local moment (μB).
Element x y z (fractional)
Ir1 0.000 0.000 0.976  0.20
Te1 0.500 0.500 0.250  -0.01
Co1 0.500 0.500 0.750  1.76
Ir2 0.000 0.000 0.524  0.20

## Properties
Fermi-level density of states: 1.084 states/eV/atom
Total magnetization: 2.14 μB/f.u.

=====

Arrangement b

DFT (PBE-GGA) results for an optimized crystal structure of CoTeIr2.

Lattice parameters (Å, degrees): 8.570 8.570 8.570 19.87 19.87 19.87
Each line ends with the local moment (μB).
Element x y z (fractional)
Te1 0.495 0.495 0.495  0.00
Ir1 0.252 0.252 0.252  0.01
Co1 0.748 0.748 0.748  1.39
Ir2 0.004 0.004 0.004  0.30

## Properties
Fermi-level density of states: 1.335 states/eV/atom
Total magnetization: 1.67 μB/f.u.

=====

Energy ordering: arrangement a at the bottom, the next structure 182 meV/atom above.

=====

Arrangement a

DFT (PBE-GGA) results for an optimized crystal structure of CoTeIr2.

Lattice parameters (Å, degrees): 4.755 4.755 4.755 129.78 129.78 73.76
Each line ends with the local moment (μB).
Element x y z (fractional)
Co1 0.750 0.250 0.500  1.72
Ir1 0.500 0.500 0.000  0.28
Ir2 0.000 0.000 0.000  0.28
Te1 0.250 0.750 0.500  0.02

## Properties
Fermi-level density of states: 0.800 states/eV/atom
Total magnetization: 2.27 μB/f.u.

=====

Arrangement b

DFT (PBE-GGA) results for an optimized crystal structure of CoTeIr2.

Lattice parameters (Å, degrees): 4.777 4.777 4.777 130.20 130.20 73.09
Each line ends with the local moment (μB).
Element x y z (fractional)
Ir1 0.250 0.750 0.500  0.26
Te1 0.500 0.500 0.000  0.02
Co1 0.750 0.250 0.500  1.53
Ir2 0.000 0.000 0.000  0.42

## Properties
Fermi-level density of states: 1.054 states/eV/atom
Total magnetization: 2.21 μB/f.u.

=====

Arrangement c

DFT (PBE-GGA) results for an optimized crystal structure of CoTeIr2.

Lattice parameters (Å, degrees): 3.883 3.950 3.950 90.00 90.00 90.00
Each line ends with the local moment (μB).
Element x y z (fractional)
Ir1 0.000 0.000 0.000  0.03
Co1 0.500 0.000 0.500  0.35
Te1 0.500 0.500 0.000  0.00
Ir2 0.000 0.500 0.500  0.03

## Properties
Fermi-level density of states: 0.865 states/eV/atom
Total magnetization: 0.40 μB/f.u.

=====

Energy ordering: arrangement a at the bottom, the next structure 10 meV/atom above.

=====

Arrangement a

DFT (PBE-GGA) results for an optimized crystal structure of TiCoIr.

Lattice parameters (Å, degrees): 3.040 3.040 4.968 107.82 107.82 90.00
Each line ends with the local moment (μB).
Element x y z (fractional)
Ti1 0.944 0.944 0.889  -0.15
Co1 0.295 0.295 0.589  1.42
Ir1 0.611 0.611 0.222  0.26

## Properties
Fermi-level density of states: 1.017 states/eV/atom
Total magnetization: 1.49 μB/f.u.

=====

Arrangement b

DFT (PBE-GGA) results for an optimized crystal structure of TiCoIr.

Lattice parameters (Å, degrees): 5.573 3.825 2.942 89.99 89.99 46.78
Each line ends with the local moment (μB).
Element x y z (fractional)
Ti1 0.000 0.500 0.000  -0.17
Co1 0.000 0.000 0.500  0.57
Ir1 0.500 0.500 0.000  0.14

## Properties
Fermi-level density of states: 1.254 states/eV/atom
Total magnetization: 0.52 μB/f.u.

=====

Energy ordering: arrangement a at the bottom, the next structure 418 meV/atom above.

=====

Arrangement a

DFT (PBE-GGA) results for an optimized crystal structure of Ti6CoIr.

Lattice parameters (Å, degrees): 5.302 5.302 5.493 99.22 99.22 109.27
Each line ends with the local moment (μB).
Element x y z (fractional)
Ti1 0.794 0.794 0.325  0.58
Ti2 0.206 0.206 0.675  0.58
Ti3 0.127 0.508 0.235  0.04
Ti4 0.508 0.127 0.235  0.04
Co1 0.500 0.500 0.500  0.03
Ir1 0.000 0.000 0.000  -0.03
Ti5 0.873 0.492 0.765  0.04
Ti6 0.492 0.873 0.765  0.04

## Properties
Fermi-level density of states: 1.179 states/eV/atom
Total magnetization: 1.59 μB/f.u.

=====

Arrangement b

DFT (PBE-GGA) results for an optimized crystal structure of Ti6CoIr.

Lattice parameters (Å, degrees): 4.305 4.305 7.372 73.02 73.02 90.00
Each line ends with the local moment (μB).
Element x y z (fractional)
Ti1 0.115 0.615 0.771  -0.04
Ti2 0.615 0.115 0.771  -0.04
Ti3 0.385 0.885 0.229  -0.04
Ti4 0.750 0.750 0.500  -0.02
Ti5 0.250 0.250 0.500  -0.02
Ir1 0.500 0.500 0.000  0.05
Ti6 0.885 0.385 0.229  -0.04
Co1 0.000 0.000 0.000  0.75

## Properties
Fermi-level density of states: 1.144 states/eV/atom
Total magnetization: 0.53 μB/f.u.

=====

Energy ordering: arrangement b at the bottom, the next structure 405 meV/atom above.